First-principles (meta-GGA SCAN) data for a PBEsol-optimized structure of Cd2FeICl, as listed in Alexandria.

abc: 5.6880 5.6880 4.1370
angles: 90.00 90.00 90.00
With the nearest neighbours (Å) after each atom.
Fractional coordinates of all 5 atoms:
Cd 0.0000 0.5000 0.0000  2 Cl 2.84
Cd 0.5000 0.0000 0.0000  2 Cl 2.84
Fe 0.0000 0.0000 0.5000  2 Cl 2.07
I 0.5000 0.5000 0.5000  8 Cd 3.52
Cl 0.0000 0.0000 0.0000  2 Fe 2.07

Energy relative to the elements, uncorrected, eV/f.u.: 2.2
Total magnetization, μB/atom: 0.62

First-principles (meta-GGA SCAN) data for a PBEsol-optimized structure of Ba2MnBe, as listed in Alexandria.

abc: 4.2894 6.4760 6.4760
angles: 43.28 90.00 90.00
With the nearest neighbours (Å) after each atom.
Fractional coordinates of all 4 atoms:
Ba 0.0000 0.0000 0.0000  2 Be 3.28, 4 Mn 3.47
Ba 0.5000 0.2883 0.2883  2 Mn 3.21, 4 Be 3.44
Mn 0.5000 0.6100 0.6100  2 Be 2.33
Be 0.0000 0.6867 0.6867  2 Mn 2.33

Total magnetization, μB/atom: 0.69
E_form, eV per atom: 0.3381

First-principles (meta-GGA SCAN) data for a PBEsol-optimized structure of RhCl2F, as listed in Alexandria.

abc: 6.3113 6.3113 6.3113
angles: 95.92 95.92 142.53
With the nearest neighbours (Å) after each atom.
Fractional coordinates of all 8 atoms:
Rh 0.0000 0.0000 0.0000  2 F 2.03
Rh 0.7500 0.2500 0.5000  2 F 2.03
Cl 0.3750 0.0209 0.1459  2 Rh 2.34
Cl 0.7709 0.6250 0.6459  2 Rh 2.34
Cl 0.8750 0.2291 0.8541  2 Rh 2.34
Cl 0.9791 0.1250 0.3541  2 Rh 2.34
F 0.2500 0.7500 0.5000  2 Rh 2.03
F 0.5000 0.5000 0.0000  2 Rh 2.03

Energy relative to the elements, uncorrected, eV/f.u.: -3.1
Total magnetization, μB/atom: 0.00

First-principles (meta-GGA SCAN) data for a PBEsol-optimized structure of YNi2Pt, as listed in Alexandria.

abc: 4.6137 4.6137 4.6137
angles: 128.00 128.00 76.63
With the nearest neighbours (Å) after each atom.
Fractional coordinates of all 4 atoms:
Y 0.0000 0.0000 0.0000  8 Ni 2.71, 4 Pt 2.86
Ni 0.2500 0.7500 0.5000  4 Pt 2.71, 4 Y 2.71, 4 Ni 2.86
Ni 0.7500 0.2500 0.5000  4 Pt 2.71, 4 Y 2.71, 4 Ni 2.86
Pt 0.5000 0.5000 0.0000  8 Ni 2.71, 4 Y 2.86

Total magnetization, μB/atom: 0.00
E_form, eV per atom: -0.4461

First-principles (meta-GGA SCAN) data for a PBEsol-optimized structure of La3NbBi, as listed in Alexandria.

abc: 5.4571 5.4571 5.4571
angles: 90.00 90.00 90.00
With the nearest neighbours (Å) after each atom.
Fractional coordinates of all 5 atoms:
La 0.0000 0.0000 0.5000  2 Nb 2.73
La 0.0000 0.5000 0.0000  2 Nb 2.73
La 0.5000 0.0000 0.0000  2 Nb 2.73
Nb 0.0000 0.0000 0.0000  6 La 2.73
Bi 0.5000 0.5000 0.5000  12 La 3.86

Total magnetization, μB/atom: 0.00
E_form, eV per atom: -0.0822

First-principles (meta-GGA SCAN) data for a PBEsol-optimized structure of LiCdMo, as listed in Alexandria.

abc: 5.0152 5.0152 5.0152
angles: 149.77 127.19 62.06
With the nearest neighbours (Å) after each atom.
Fractional coordinates of all 3 atoms:
Li 0.0000 0.0000 0.0000  2 Li 2.62, 1 Mo 2.83, 1 Cd 2.87
Cd 0.3335 0.3335 0.0000  2 Cd 2.62, 1 Li 2.87, 1 Mo 2.90
Mo 0.6713 0.6713 0.0000  2 Mo 2.62, 1 Li 2.83, 1 Cd 2.90

Polymorph energy (0 for the lowest one), meV/atom: 195
Total magnetization, μB/atom: 0.64
E_form, eV per atom: 0.4927

First-principles (meta-GGA SCAN) data for a PBEsol-optimized structure of ScS2ICl, as listed in Alexandria.

abc: 4.9991 4.9991 4.7546
angles: 90.00 90.00 90.00
With the nearest neighbours (Å) after each atom.
Fractional coordinates of all 5 atoms:
Sc 0.0000 0.0000 0.0000  2 Cl 2.38, 4 S 2.50
S 0.0000 0.5000 0.0000  2 Sc 2.50
S 0.5000 0.0000 0.0000  2 Sc 2.50
I 0.5000 0.5000 0.5000  8 S 3.45, 4 Cl 3.53
Cl 0.0000 0.0000 0.5000  2 Sc 2.38

Energy relative to the elements, uncorrected, eV/f.u.: -3.6
Total magnetization, μB/atom: 0.00

First-principles (meta-GGA SCAN) data for a PBEsol-optimized structure of Ti4FeS8, as listed in Alexandria.

abc: 6.3907 6.3907 7.8703
angles: 125.86 125.86 62.72
With the nearest neighbours (Å) after each atom.
Fractional coordinates of all 13 atoms:
Ti 0.2397 0.2397 0.4945  6 S 2.36-2.43
Ti 0.2398 0.7602 0.0000  6 S 2.38-2.43
Ti 0.7602 0.2398 0.0000  6 S 2.38-2.43
Ti 0.7603 0.7603 0.5055  6 S 2.36-2.43
Fe 0.5000 0.5000 0.5000  6 S 2.26-2.28
S 0.0539 0.0539 0.8340  3 Ti 2.36-2.38
S 0.0592 0.5460 0.3334  1 Fe 2.26, 3 Ti 2.41-2.43
S 0.4540 0.9408 0.6666  1 Fe 2.26, 3 Ti 2.41-2.43
S 0.4593 0.4593 0.1749  1 Fe 2.28, 3 Ti 2.42-2.43
S 0.5407 0.5407 0.8251  1 Fe 2.28, 3 Ti 2.42-2.43
S 0.5460 0.0592 0.3334  1 Fe 2.26, 3 Ti 2.41-2.43
S 0.9408 0.4540 0.6666  1 Fe 2.26, 3 Ti 2.41-2.43
S 0.9461 0.9461 0.1660  3 Ti 2.36-2.38

Energy relative to the elements, uncorrected, eV/f.u.: -17.8
Total magnetization, μB/atom: 0.00

First-principles (meta-GGA SCAN) data for a PBEsol-optimized structure of Fe2NiRh, as listed in Alexandria.

abc: 4.4601 4.4601 4.4601
angles: 132.66 132.66 69.19
With the nearest neighbours (Å) after each atom.
Fractional coordinates of all 4 atoms:
Fe 0.0000 0.0000 0.0000  4 Ni 2.53, 4 Fe 2.56, 4 Rh 2.56
Fe 0.7500 0.2500 0.5000  4 Rh 2.53, 4 Fe 2.56, 4 Ni 2.56
Ni 0.5000 0.5000 0.0000  8 Fe 2.53-2.56, 4 Rh 2.56
Rh 0.2500 0.7500 0.5000  8 Fe 2.53-2.56, 4 Ni 2.56

Total magnetization, μB/atom: 1.84
E_form, eV per atom: -0.1336

First-principles (meta-GGA SCAN) data for a PBEsol-optimized structure of Sr2MoSe, as listed in Alexandria.

abc: 8.8692 8.8692 8.8692
angles: 25.86 25.86 25.86
With the nearest neighbours (Å) after each atom.
Fractional coordinates of all 4 atoms:
Sr 0.2417 0.2417 0.2417  3 Se 2.99, 3 Mo 3.29
Sr 0.7583 0.7583 0.7583  3 Se 2.99, 3 Mo 3.29
Mo 0.0000 0.0000 0.0000  6 Sr 3.29
Se 0.5000 0.5000 0.5000  6 Sr 2.99

Energy relative to the elements, uncorrected, eV/f.u.: -0.4
Total magnetization, μB/atom: 0.80

First-principles (meta-GGA SCAN) data for a PBEsol-optimized structure of AgAuS2, as listed in Alexandria.

abc: 4.5477 4.5477 4.5477
angles: 60.00 60.00 60.00
With the nearest neighbours (Å) after each atom.
Fractional coordinates of all 4 atoms:
Ag 0.0000 0.0000 0.0000  8 S 2.78
Au 0.5000 0.5000 0.5000  8 S 2.78
S 0.2500 0.2500 0.2500  4 Au 2.78, 4 Ag 2.78
S 0.7500 0.7500 0.7500  4 Ag 2.78, 4 Au 2.78

Energy relative to the elements, uncorrected, eV/f.u.: 2.2
Total magnetization, μB/atom: 0.38

First-principles (meta-GGA SCAN) data for a PBEsol-optimized structure of LiScGeO4, as listed in Alexandria.

abc: 10.6483 5.9720 4.9633
angles: 90.00 90.00 90.00
With the nearest neighbours (Å) after each atom.
Fractional coordinates of all 28 atoms:
Li 0.0000 0.0000 0.0000  4 O 2.06-2.19
Li 0.0000 0.5000 0.0000  4 O 2.06-2.19
Li 0.5000 0.0000 0.5000  4 O 2.06-2.19
Li 0.5000 0.5000 0.5000  4 O 2.06-2.19
Sc 0.2287 0.2500 0.4946  6 O 2.06-2.18
Sc 0.2713 0.7500 0.9946  6 O 2.06-2.18
Sc 0.7287 0.2500 0.0054  6 O 2.06-2.18
Sc 0.7713 0.7500 0.5054  6 O 2.06-2.18
Ge 0.0894 0.7500 0.5492  4 O 1.73-1.79
Ge 0.4106 0.2500 0.0492  4 O 1.73-1.79
Ge 0.5894 0.7500 0.9508  4 O 1.73-1.79
Ge 0.9106 0.2500 0.4508  4 O 1.73-1.79
O 0.0587 0.2500 0.2979  1 Ge 1.75
O 0.0959 0.7500 0.2007  1 Ge 1.73
O 0.1730 0.5288 0.7147  1 Ge 1.79
O 0.1730 0.9712 0.7147  1 Ge 1.79
O 0.3270 0.0288 0.2147  1 Ge 1.79
O 0.3270 0.4712 0.2147  1 Ge 1.79
O 0.4041 0.2500 0.7007  1 Ge 1.73
O 0.4413 0.7500 0.7979  1 Ge 1.75
O 0.5587 0.2500 0.2021  1 Ge 1.75
O 0.5959 0.7500 0.2993  1 Ge 1.73
O 0.6730 0.5288 0.7853  1 Ge 1.79
O 0.6730 0.9712 0.7853  1 Ge 1.79
O 0.8270 0.0288 0.2853  1 Ge 1.79
O 0.8270 0.4712 0.2853  1 Ge 1.79
O 0.9041 0.2500 0.7993  1 Ge 1.73
O 0.9413 0.7500 0.7021  1 Ge 1.75

Energy relative to the elements, uncorrected, eV/f.u.: -18.9
Total magnetization, μB/atom: 0.00